This record from Alexandria via LeMat-Bulk describes a relaxed structure of CrInIO4. The functional is PBE with a Hubbard U.

Calculated values
Energy, eV per cell: -78.45
Symmetry: No. 12
Size of the total moment, Bohr magnetons per cell: 0.00

The structure in POSCAR format:
```
CrInIO4
1.0
4.758 -3.520 0.000
4.758 3.520 0.000
-4.628 0.000 8.604
Cr In I O
2 2 2 8
Direct
0.204 0.204 0.339
0.796 0.796 0.661
0.455 0.455 0.767
0.545 0.545 0.233
0.268 0.268 0.927
0.732 0.732 0.073
0.100 0.720 0.743
0.263 0.263 0.529
0.280 0.900 0.257
0.364 0.364 0.311
0.636 0.636 0.689
0.720 0.100 0.743
0.737 0.737 0.471
0.900 0.280 0.257
```